No. 1
This record from the Alexandria database describes an optimized crystal structure of BaZr2Cl. The functional is PBE.

- ΔE_f (raw) (eV per atom) = 0.43
- calculated total energy (eV per atom) = -4.79

a b c (Å): 4.944 4.944 8.864
angles (deg): 90.00 90.00 90.00
Sites, in units of the cell vectors:
Ba 0.000 0.000 0.000
Ba 0.500 0.500 0.500
Zr 0.000 0.000 0.500
Zr 0.000 0.500 0.250
Zr 0.500 0.000 0.750
Zr 0.500 0.500 0.000
Cl 0.000 0.500 0.750
Cl 0.500 0.000 0.250

No. 2
This record from the Alexandria database describes an optimized crystal structure of CsZr3Tc. The functional is PBE.

- formation energy (meV/atom) = 724
- calculated total energy (eV per atom) = -6.65

a b c (Å): 5.243 5.243 5.243
angles (deg): 90.00 90.00 90.00
Sites, in units of the cell vectors:
Cs 0.000 0.000 0.000
Zr 0.000 0.500 0.500
Zr 0.500 0.000 0.500
Zr 0.500 0.500 0.000
Tc 0.500 0.500 0.500

No. 3
This record from the Alexandria database describes an optimized crystal structure of Cs2Na2Sr. The functional is PBE.

- formation energy (meV/atom) = 104
- calculated total energy (eV per atom) = -1.10

a b c (Å): 11.032 11.032 5.498
angles (deg): 90.00 90.00 90.00
Sites, in units of the cell vectors:
Cs 0.172 0.328 0.000
Cs 0.328 0.828 0.000
Cs 0.672 0.172 0.000
Cs 0.828 0.672 0.000
Na 0.125 0.625 0.500
Na 0.375 0.125 0.500
Na 0.625 0.875 0.500
Na 0.875 0.375 0.500
Sr 0.000 0.000 0.500
Sr 0.500 0.500 0.500

No. 4
This record from the Alexandria database describes an optimized crystal structure of AcIO6. The functional is PBE.

- ΔE_f (raw) (eV per atom) = -1.07
- calculated total energy (eV per atom) = -5.50

a b c (Å): 6.367 7.225 4.826
angles (deg): 90.00 101.10 90.00
Sites, in units of the cell vectors:
Ac 0.000 0.000 0.000
Ac 0.500 0.500 0.000
I 0.000 0.500 0.500
I 0.500 0.000 0.500
O 0.104 0.322 0.781
O 0.104 0.678 0.781
O 0.219 0.000 0.575
O 0.281 0.500 0.425
O 0.396 0.178 0.219
O 0.396 0.822 0.219
O 0.604 0.178 0.781
O 0.604 0.822 0.781
O 0.719 0.500 0.575
O 0.781 0.000 0.425
O 0.896 0.322 0.219
O 0.896 0.678 0.219

No. 5
This record from the Alexandria database describes an optimized crystal structure of ZnCdSe. The functional is PBE.

- ΔE_f (raw) (eV per atom) = -0.14
- calculated total energy (eV per atom) = -2.03

a b c (Å): 3.630 3.630 12.046
angles (deg): 90.00 90.00 90.00
Sites, in units of the cell vectors:
Zn 0.000 0.000 0.000
Zn 0.500 0.500 0.500
Cd 0.000 0.000 0.219
Cd 0.500 0.500 0.719
Se 0.000 0.000 0.442
Se 0.500 0.500 0.942

No. 6
This record from the Alexandria database describes an optimized crystal structure of TeMoRh2. The functional is PBE.

- ΔE_f (raw) (eV per atom) = 0.05
- calculated total energy (eV per atom) = -7.12

a b c (Å): 3.030 3.865 5.669
angles (deg): 90.00 90.35 90.00
Sites, in units of the cell vectors:
Te 0.000 0.000 0.000
Mo 0.000 0.000 0.500
Rh 0.498 0.500 0.268
Rh 0.502 0.500 0.732

No. 7
This record from the Alexandria database describes an optimized crystal structure of CaSc2Ta. The functional is PBE.

- formation energy (meV/atom) = 363
- calculated total energy (eV per atom) = -6.27

a b c (Å): 3.196 4.374 7.245
angles (deg): 90.00 90.00 90.00
Sites, in units of the cell vectors:
Ca 0.000 0.000 0.000
Sc 0.000 0.000 0.550
Sc 0.500 0.500 0.322
Ta 0.500 0.500 0.723

No. 8
This record from the Alexandria database describes an optimized crystal structure of TaSbRhO6. The functional is PBE.

- ΔE_f (raw) (eV per atom) = -1.54
- calculated total energy (eV per atom) = -7.44

a b c (Å): 5.303 5.303 9.003
angles (deg): 90.00 90.00 120.00
Sites, in units of the cell vectors:
Ta 0.333 0.667 0.250
Ta 0.667 0.333 0.750
Sb 0.333 0.667 0.750
Sb 0.667 0.333 0.250
Rh 0.000 0.000 0.000
Rh 0.000 0.000 0.500
O 0.002 0.352 0.132
O 0.002 0.650 0.368
O 0.350 0.352 0.368
O 0.350 0.998 0.132
O 0.352 0.002 0.632
O 0.352 0.350 0.868
O 0.648 0.650 0.132
O 0.648 0.998 0.368
O 0.650 0.002 0.868
O 0.650 0.648 0.632
O 0.998 0.350 0.632
O 0.998 0.648 0.868

No. 9
This record from the Alexandria database describes an optimized crystal structure of K2Na6CdAg. The functional is PBE.

- formation energy (meV/atom) = 36
- calculated total energy (eV per atom) = -1.35

a b c (Å): 8.412 8.412 8.412
angles (deg): 60.00 60.00 60.00
Sites, in units of the cell vectors:
K 0.250 0.250 0.250
K 0.750 0.750 0.750
Na 0.245 0.245 0.755
Na 0.245 0.755 0.245
Na 0.245 0.755 0.755
Na 0.755 0.245 0.245
Na 0.755 0.245 0.755
Na 0.755 0.755 0.245
Cd 0.500 0.500 0.500
Ag 0.000 0.000 0.000

No. 10
This record from the Alexandria database describes an optimized crystal structure of Be2TeP. The functional is PBE.

- ΔE_f (raw) (eV per atom) = 0.32
- calculated total energy (eV per atom) = -3.68

a b c (Å): 3.271 3.363 11.729
angles (deg): 90.00 90.00 90.00
Sites, in units of the cell vectors:
Be 0.000 0.000 0.000
Be 0.000 0.500 0.148
Be 0.500 0.000 0.648
Be 0.500 0.500 0.500
Te 0.000 0.000 0.353
Te 0.500 0.500 0.853
P 0.000 0.500 0.615
P 0.500 0.000 0.115

No. 11
This record from the Alexandria database describes an optimized crystal structure of ZnSe2Br. The functional is PBE.

- ΔE_f (raw) (eV per atom) = 0.15
- calculated total energy (eV per atom) = -2.33

a b c (Å): 3.747 3.747 17.911
angles (deg): 90.00 90.00 90.00
Sites, in units of the cell vectors:
Zn 0.000 0.000 0.000
Zn 0.500 0.500 0.500
Se 0.000 0.000 0.500
Se 0.000 0.500 0.250
Se 0.500 0.000 0.750
Se 0.500 0.500 0.000
Br 0.000 0.500 0.750
Br 0.500 0.000 0.250

No. 12
This record from the Alexandria database describes an optimized crystal structure of MgAl2Cr2. The functional is PBE.

- formation energy (meV/atom) = 101
- calculated total energy (eV per atom) = -5.56

a b c (Å): 7.347 7.347 2.806
angles (deg): 90.00 90.00 90.00
Sites, in units of the cell vectors:
Mg 0.000 0.000 0.000
Mg 0.500 0.500 0.000
Al 0.188 0.312 0.500
Al 0.312 0.812 0.500
Al 0.688 0.188 0.500
Al 0.812 0.688 0.500
Cr 0.102 0.602 0.000
Cr 0.398 0.102 0.000
Cr 0.602 0.898 0.000
Cr 0.898 0.398 0.000

No. 13
This record from the Alexandria database describes an optimized crystal structure of ZnCu4. The functional is PBE.

- formation energy (meV/atom) = 210
- calculated total energy (eV per atom) = -3.32

a b c (Å): 3.355 3.355 12.262
angles (deg): 90.00 90.00 90.00
Sites, in units of the cell vectors:
Zn 0.000 0.000 0.000
Zn 0.500 0.500 0.500
Cu 0.000 0.000 0.403
Cu 0.000 0.000 0.597
Cu 0.000 0.500 0.250
Cu 0.000 0.500 0.750
Cu 0.500 0.000 0.250
Cu 0.500 0.000 0.750
Cu 0.500 0.500 0.097
Cu 0.500 0.500 0.903

No. 14
This record from the Alexandria database describes an optimized crystal structure of La5CoSn. The functional is PBE.

- formation energy (meV/atom) = -268
- calculated total energy (eV per atom) = -5.37

a b c (Å): 4.988 4.988 8.330
angles (deg): 90.00 90.00 90.00
Sites, in units of the cell vectors:
La 0.000 0.000 0.000
La 0.000 0.500 0.303
La 0.000 0.500 0.697
La 0.500 0.000 0.303
La 0.500 0.000 0.697
Co 0.000 0.000 0.500
Sn 0.500 0.500 0.000

No. 15
This record from the Alexandria database describes an optimized crystal structure of Tl2TcBr. The functional is PBE.

- ΔE_f (raw) (eV per atom) = 0.47
- calculated total energy (eV per atom) = -3.72

a b c (Å): 3.864 3.875 8.124
angles (deg): 90.00 90.00 90.00
Sites, in units of the cell vectors:
Tl 0.000 0.000 0.000
Tl 0.500 0.500 0.375
Tc 0.000 0.000 0.348
Br 0.500 0.500 0.803

No. 16
This record from the Alexandria database describes an optimized crystal structure of BAs2RhSe. The functional is PBE.

- ΔE_f (raw) (eV per atom) = 0.74
- calculated total energy (eV per atom) = -4.62

a b c (Å): 4.267 4.267 4.412
angles (deg): 90.00 90.00 90.00
Sites, in units of the cell vectors:
B 0.000 0.000 0.000
As 0.000 0.500 0.000
As 0.500 0.000 0.000
Rh 0.500 0.500 0.500
Se 0.000 0.000 0.500

No. 17
This record from the Alexandria database describes an optimized crystal structure of Rb3HoCl6. The functional is PBE.

- ΔE_f (raw) (eV per atom) = -2.14
- calculated total energy (eV per atom) = -4.00

a b c (Å): 13.573 13.573 13.166
angles (deg): 99.09 99.09 34.64
Sites, in units of the cell vectors:
Rb 0.023 0.647 0.191
Rb 0.166 0.529 0.853
Rb 0.170 0.718 0.555
Rb 0.282 0.830 0.945
Rb 0.353 0.977 0.309
Rb 0.471 0.834 0.647
Rb 0.529 0.166 0.353
Rb 0.647 0.023 0.691
Rb 0.718 0.170 0.055
Rb 0.830 0.282 0.445
Rb 0.834 0.471 0.147
Rb 0.977 0.353 0.809
Ho 0.000 0.500 0.500
Ho 0.199 0.801 0.250
Ho 0.500 0.000 0.000
Ho 0.801 0.199 0.750
Cl 0.018 0.106 0.209
Cl 0.106 0.018 0.709
Cl 0.131 0.370 0.315
Cl 0.151 0.740 0.063
Cl 0.154 0.207 0.534
Cl 0.207 0.154 0.034
Cl 0.260 0.849 0.437
Cl 0.274 0.386 0.574
Cl 0.354 0.522 0.318
Cl 0.370 0.131 0.815
Cl 0.386 0.274 0.074
Cl 0.478 0.646 0.182
Cl 0.522 0.354 0.818
Cl 0.614 0.726 0.926
Cl 0.630 0.869 0.185
Cl 0.646 0.478 0.682
Cl 0.726 0.614 0.426
Cl 0.740 0.151 0.563
Cl 0.793 0.846 0.966
Cl 0.846 0.793 0.466
Cl 0.849 0.260 0.937
Cl 0.869 0.630 0.685
Cl 0.894 0.982 0.291
Cl 0.982 0.894 0.791